Here is a relaxed structure of Tl5In2Se6 from Alexandria. Energies are from GGA-PBE.

```
data_Tl5In2Se6
_cell_length_a 13.752
_cell_length_b 8.037
_cell_length_c 16.434
_cell_angle_alpha 90.00
_cell_angle_beta 99.23
_cell_angle_gamma 90.00
_symmetry_space_group_name_H-M 'C 1 2/c 1'
_symmetry_Int_Tables_number 15
_symmetry_space_group_name_Hall '-C 2yc'
loop_
_atom_site_label
_atom_site_type_symbol
_atom_site_fract_x
_atom_site_fract_y
_atom_site_fract_z
_atom_site_occupancy
Tl1 Tl 0.000 0.100 0.250 1
Tl2 Tl 0.019 0.222 0.565 1
Tl3 Tl 0.154 0.458 0.298 1
In1 In 0.215 0.324 0.091 1
Se1 Se 0.034 0.392 0.110 1
Se2 Se 0.163 0.172 0.770 1
Se3 Se 0.208 0.019 0.025 1
```

Values from the calculation:
DOS at the Fermi energy (states/eV/f.u.): 5.55
Raw formation energy (eV/atom): -0.4067
Uncorrected energy (eV per atom): -3.3463